(1)
! CaHgSbP2 | Alexandria | PBE | relaxed; values from VASP
&SYSTEM
  ibrav = 0, nat = 5, ntyp = 4
/
ATOMIC_SPECIES
Ca 40.08 Ca.upf
Hg 200.59 Hg.upf
Sb 121.76 Sb.upf
P 30.97 P.upf
ATOMIC_POSITIONS crystal
Ca 0.0000 0.0000 0.0000
Hg 0.0000 0.0000 0.5000
Sb 0.5000 0.5000 0.0000
P 0.0000 0.5000 0.5000
P 0.5000 0.0000 0.5000
CELL_PARAMETERS angstrom
4.9711 0.0000 0.0000
0.0000 4.9711 0.0000
0.0000 0.0000 5.6797
! - Space-group type: P4/mmm, No. 123
! - Formation energy without anion corrections: 0.6067 eV per atom
! - DOS(E_F): 3.102 states/eV/f.u.
! - Theoretical density: 5.0 g/cm³


(2)
! CaSnHgP2 | Alexandria | PBE | relaxed; values from VASP
&SYSTEM
  ibrav = 0, nat = 5, ntyp = 4
/
ATOMIC_SPECIES
Ca 40.08 Ca.upf
Sn 118.71 Sn.upf
Hg 200.59 Hg.upf
P 30.97 P.upf
ATOMIC_POSITIONS crystal
Ca 0.0000 0.0000 0.0000
Sn 0.0000 0.0000 0.5000
Hg 0.5000 0.5000 0.5000
P 0.0000 0.5000 0.0000
P 0.5000 0.0000 0.0000
CELL_PARAMETERS angstrom
5.2072 0.0000 0.0000
0.0000 5.2072 0.0000
0.0000 0.0000 5.9666
! - Space-group type: P4/mmm, No. 123
! - DOS(E_F): 3.034 states/eV/f.u.
! - DFT formation energy: 377 kJ/mol of formula units
! - Theoretical density: 4.3 g/cm³


(3)
! SrCa2HgP | Alexandria | PBE | relaxed; values from VASP
&SYSTEM
  ibrav = 0, nat = 5, ntyp = 4
/
ATOMIC_SPECIES
Sr 87.62 Sr.upf
Ca 40.08 Ca.upf
Hg 200.59 Hg.upf
P 30.97 P.upf
ATOMIC_POSITIONS crystal
Sr 0.0000 0.0000 0.0000
Ca 0.0000 0.5000 0.5000
Ca 0.5000 0.0000 0.5000
Hg 0.5000 0.5000 0.0000
P 0.0000 0.0000 0.5000
CELL_PARAMETERS angstrom
5.4748 0.0000 0.0000
0.0000 5.4748 0.0000
0.0000 0.0000 5.8771
! - Space-group type: P4/mmm, No. 123
! - DOS(E_F): 4.209 states/eV/f.u.
! - DFT formation energy: -296 kJ/mol of formula units
! - Theoretical density: 3.8 g/cm³


(4)
! SrCaHgP | Alexandria | PBE | relaxed; values from VASP
&SYSTEM
  ibrav = 0, nat = 16, ntyp = 4
/
ATOMIC_SPECIES
Sr 87.62 Sr.upf
Ca 40.08 Ca.upf
Hg 200.59 Hg.upf
P 30.97 P.upf
ATOMIC_POSITIONS crystal
Sr 0.0000 0.0000 0.0000
Sr 0.0000 0.5000 0.5000
Sr 0.5000 0.0000 0.5000
Sr 0.5000 0.5000 0.0000
Ca 0.0000 0.0000 0.5000
Ca 0.0000 0.5000 0.0000
Ca 0.5000 0.0000 0.0000
Ca 0.5000 0.5000 0.5000
Hg 0.2500 0.2500 0.2500
Hg 0.2500 0.7500 0.7500
Hg 0.7500 0.2500 0.7500
Hg 0.7500 0.7500 0.2500
P 0.2500 0.2500 0.7500
P 0.2500 0.7500 0.2500
P 0.7500 0.2500 0.2500
P 0.7500 0.7500 0.7500
CELL_PARAMETERS angstrom
7.5310 0.0000 0.0000
0.0000 7.5310 0.0000
0.0000 0.0000 7.5310
! - Space-group type: F-43m, No. 216
! - DOS(E_F): 2.748 states/eV/f.u.
! - DFT formation energy: -247 kJ/mol of formula units
! - Theoretical density: 5.6 g/cm³


(5)
! CaTlHg2P | Alexandria | PBE | relaxed; values from VASP
&SYSTEM
  ibrav = 0, nat = 5, ntyp = 4
/
ATOMIC_SPECIES
Ca 40.08 Ca.upf
Tl 204.38 Tl.upf
Hg 200.59 Hg.upf
P 30.97 P.upf
ATOMIC_POSITIONS crystal
Ca 0.0000 0.0000 0.0000
Tl 0.0000 0.0000 0.5000
Hg 0.0000 0.5000 0.5000
Hg 0.5000 0.0000 0.5000
P 0.5000 0.5000 0.0000
CELL_PARAMETERS angstrom
5.4698 0.0000 0.0000
0.0000 5.4698 0.0000
0.0000 0.0000 6.1651
! - Space-group type: P4/mmm, No. 123
! - DOS(E_F): 5.641 states/eV/f.u.
! - DFT formation energy: 266 kJ/mol of formula units
! - Theoretical density: 6.1 g/cm³


(6)
! Ca2PaHg | Alexandria | PBE | relaxed; values from VASP
&SYSTEM
  ibrav = 0, nat = 12, ntyp = 3
/
ATOMIC_SPECIES
Ca 40.08 Ca.upf
Pa 231.04 Pa.upf
Hg 200.59 Hg.upf
ATOMIC_POSITIONS crystal
Ca 0.0000 0.0000 0.0943
Ca 0.0000 0.0000 0.9057
Ca 0.3333 0.6667 0.5724
Ca 0.3333 0.6667 0.7609
Ca 0.6667 0.3333 0.2391
Ca 0.6667 0.3333 0.4276
Pa 0.0000 0.0000 0.0000
Pa 0.3333 0.6667 0.6667
Pa 0.6667 0.3333 0.3333
Hg 0.0000 0.0000 0.5000
Hg 0.3333 0.6667 0.1667
Hg 0.6667 0.3333 0.8333
CELL_PARAMETERS angstrom
3.3839 0.0000 0.0000
-1.6920 2.9306 0.0000
0.0000 0.0000 35.4576
! - Space-group type: R-3m, No. 166
! - DOS(E_F): 5.661 states/eV/f.u.
! - DFT formation energy: 97 kJ/mol of formula units
! - Theoretical density: 7.3 g/cm³


(7)
! CaPaHg6 | Alexandria | PBE | relaxed; values from VASP
&SYSTEM
  ibrav = 0, nat = 8, ntyp = 3
/
ATOMIC_SPECIES
Ca 40.08 Ca.upf
Pa 231.04 Pa.upf
Hg 200.59 Hg.upf
ATOMIC_POSITIONS crystal
Ca 0.0000 0.0000 0.0000
Pa 0.5000 0.5000 0.5000
Hg 0.0635 0.0635 0.5576
Hg 0.0635 0.5576 0.0635
Hg 0.4424 0.9365 0.9365
Hg 0.5576 0.0635 0.0635
Hg 0.9365 0.4424 0.9365
Hg 0.9365 0.9365 0.4424
CELL_PARAMETERS angstrom
3.0061 1.7356 8.2952
-3.0061 1.7356 8.2952
0.0000 -3.4712 8.2952
! - Space-group type: R-3m, No. 166
! - DOS(E_F): 9.613 states/eV/f.u.
! - DFT formation energy: 92 kJ/mol of formula units
! - Theoretical density: 9.4 g/cm³


(8)
! CaPaHgSb | Alexandria | PBE | relaxed; values from VASP
&SYSTEM
  ibrav = 0, nat = 16, ntyp = 4
/
ATOMIC_SPECIES
Ca 40.08 Ca.upf
Pa 231.04 Pa.upf
Hg 200.59 Hg.upf
Sb 121.76 Sb.upf
ATOMIC_POSITIONS crystal
Ca 0.0000 0.0000 0.0000
Ca 0.0000 0.5000 0.5000
Ca 0.5000 0.0000 0.5000
Ca 0.5000 0.5000 0.0000
Pa 0.0000 0.0000 0.5000
Pa 0.0000 0.5000 0.0000
Pa 0.5000 0.0000 0.0000
Pa 0.5000 0.5000 0.5000
Hg 0.2500 0.2500 0.7500
Hg 0.2500 0.7500 0.2500
Hg 0.7500 0.2500 0.2500
Hg 0.7500 0.7500 0.7500
Sb 0.2500 0.2500 0.2500
Sb 0.2500 0.7500 0.7500
Sb 0.7500 0.2500 0.7500
Sb 0.7500 0.7500 0.2500
CELL_PARAMETERS angstrom
7.5515 0.0000 0.0000
0.0000 7.5515 0.0000
0.0000 0.0000 7.5515
! - Space-group type: F-43m, No. 216
! - Formation energy without anion corrections: -0.2536 eV per atom
! - DOS(E_F): 6.915 states/eV/f.u.
! - Theoretical density: 9.2 g/cm³


(9)
! Ca2HgPb2 | Alexandria | PBE | relaxed; values from VASP
&SYSTEM
  ibrav = 0, nat = 10, ntyp = 3
/
ATOMIC_SPECIES
Ca 40.08 Ca.upf
Hg 200.59 Hg.upf
Pb 207.20 Pb.upf
ATOMIC_POSITIONS crystal
Ca 0.2117 0.2617 0.3615
Ca 0.2617 0.2117 0.8615
Ca 0.7383 0.7883 0.1385
Ca 0.7883 0.7383 0.6385
Hg 0.4034 0.5966 0.7500
Hg 0.5966 0.4034 0.2500
Pb 0.1976 0.7909 0.0525
Pb 0.2091 0.8024 0.4475
Pb 0.7909 0.1976 0.5525
Pb 0.8024 0.2091 0.9475
CELL_PARAMETERS angstrom
5.2186 -3.7376 0.0000
5.2186 3.7376 0.0000
-3.5195 0.0000 7.9507
! - Space-group type: C2/c, No. 15
! - DOS(E_F): 2.041 states/eV/f.u.
! - DFT formation energy: -188 kJ/mol of formula units
! - Excess energy over the best structure of this formula in the dataset: 0.042 eV/atom
! - Theoretical density: 7.4 g/cm³


(10)
! Ca3Hg3Pb | Alexandria | PBE | relaxed; values from VASP
&SYSTEM
  ibrav = 0, nat = 14, ntyp = 3
/
ATOMIC_SPECIES
Ca 40.08 Ca.upf
Hg 200.59 Hg.upf
Pb 207.20 Pb.upf
ATOMIC_POSITIONS crystal
Ca 0.0004 0.0004 0.2489
Ca 0.9996 0.9996 0.7511
Ca 0.0005 0.4995 0.7493
Ca 0.4995 0.0005 0.7493
Ca 0.5005 0.9995 0.2507
Ca 0.9995 0.5005 0.2507
Hg 0.2621 0.7379 0.0000
Hg 0.2810 0.7190 0.5000
Hg 0.2854 0.2854 0.4990
Hg 0.7146 0.7146 0.5010
Hg 0.7190 0.2810 0.5000
Hg 0.7379 0.2621 0.0000
Pb 0.3099 0.3099 0.0010
Pb 0.6901 0.6901 0.9990
CELL_PARAMETERS angstrom
5.2159 -5.2796 0.0000
5.2159 5.2796 0.0000
-0.0007 0.0000 7.3727
! - Space-group type: C2/m, No. 12
! - DOS(E_F): 4.329 states/eV/f.u.
! - DFT formation energy: -263 kJ/mol of formula units
! - Excess energy over the best structure of this formula in the dataset: 0.044 eV/atom
! - Theoretical density: 7.6 g/cm³


(11)
! Ca5Hg2Pb | Alexandria | PBE | relaxed; values from VASP
&SYSTEM
  ibrav = 0, nat = 16, ntyp = 3
/
ATOMIC_SPECIES
Ca 40.08 Ca.upf
Hg 200.59 Hg.upf
Pb 207.20 Pb.upf
ATOMIC_POSITIONS crystal
Ca 0.0000 0.0000 0.0000
Ca 0.0218 0.5218 0.8353
Ca 0.1864 0.0218 0.5000
Ca 0.3136 0.8136 0.8353
Ca 0.4782 0.3136 0.5000
Ca 0.5000 0.5000 0.0000
Ca 0.5218 0.6864 0.5000
Ca 0.6864 0.1864 0.1647
Ca 0.8136 0.9782 0.5000
Ca 0.9782 0.4782 0.1647
Hg 0.1304 0.3696 0.5000
Hg 0.3696 0.8696 0.2392
Hg 0.6304 0.1304 0.7608
Hg 0.8696 0.6304 0.5000
Pb 0.2500 0.2500 0.0000
Pb 0.7500 0.7500 0.0000
CELL_PARAMETERS angstrom
-4.1342 4.1342 7.4295
4.1342 -4.1342 7.4295
4.1342 4.1342 -7.4295
! - Space-group type: I4/mcm, No. 140
! - DOS(E_F): 6.957 states/eV/f.u.
! - DFT formation energy: -365 kJ/mol of formula units
! - Theoretical density: 5.3 g/cm³


(12)
! Ca2HgPb | Alexandria | PBE | relaxed; values from VASP
&SYSTEM
  ibrav = 0, nat = 4, ntyp = 3
/
ATOMIC_SPECIES
Ca 40.08 Ca.upf
Hg 200.59 Hg.upf
Pb 207.20 Pb.upf
ATOMIC_POSITIONS crystal
Ca 0.0000 0.0000 0.0000
Ca 0.5000 0.5000 0.4078
Hg 0.0000 0.0000 0.5038
Pb 0.5000 0.5000 0.9043
CELL_PARAMETERS angstrom
3.8239 0.0000 0.0000
0.0000 5.1953 0.0000
0.0000 0.0000 6.4437
! - Space-group type: Pmm2, No. 25
! - DOS(E_F): 2.327 states/eV/f.u.
! - DFT formation energy: -148 kJ/mol of formula units
! - Theoretical density: 6.3 g/cm³


(13)
! CaHg4Pb | Alexandria | PBE | relaxed; values from VASP
&SYSTEM
  ibrav = 0, nat = 6, ntyp = 3
/
ATOMIC_SPECIES
Ca 40.08 Ca.upf
Hg 200.59 Hg.upf
Pb 207.20 Pb.upf
ATOMIC_POSITIONS crystal
Ca 0.0000 0.0000 0.0000
Hg 0.1250 0.6250 0.6250
Hg 0.6250 0.1250 0.6250
Hg 0.6250 0.6250 0.1250
Hg 0.6250 0.6250 0.6250
Pb 0.2500 0.2500 0.2500
CELL_PARAMETERS angstrom
0.0000 4.3189 4.3189
4.3189 0.0000 4.3189
4.3189 4.3189 0.0000
! - Space-group type: F-43m, No. 216
! - DOS(E_F): 2.443 states/eV/f.u.
! - DFT formation energy: -90 kJ/mol of formula units
! - Excess energy over the best structure of this formula in the dataset: 0.056 eV/atom
! - Theoretical density: 10.8 g/cm³